## a
# Tc2PtPb

Crystalline Tc2PtPb at its relaxed geometry (PBE-GGA, the Alexandria database).

Results
Its space group is P4mm (99). As for the calculated volume: 70.2 Å³/f.u.

Cell and atoms, written as extended XYZ:
```
4
Lattice="2.9733 0.0000 0.0000 0.0000 2.9733 0.0000 0.0000 0.0000 7.9458" Properties=species:S:1:pos:R:3 pbc="T T T"
Tc 0.0000 0.0000 0.0000
Tc 1.4867 1.4867 1.4999
Pt 1.4867 1.4867 6.0029
Pb 0.0000 0.0000 3.7680
```


## b
# Tc2PtPb

Crystalline Tc2PtPb at its relaxed geometry (PBE-GGA, the Alexandria database).

Results
Its space group is Pm (6). As for the calculated volume: 70.1 Å³/f.u.

Cell and atoms, written as extended XYZ:
```
4
Lattice="2.9710 0.0000 0.0000 0.0000 3.8448 0.0000 -0.4219 0.0000 6.1396" Properties=species:S:1:pos:R:3 pbc="T T T"
Tc 0.0000 0.0000 0.0000
Tc 1.2611 1.9224 1.0824
Pt 1.0069 1.9224 4.5751
Pb 2.6187 0.0000 2.9327
```


So which one wins? Going from most stable to least: a, b.


## a
# Tc2PtPb

Crystalline Tc2PtPb at its relaxed geometry (PBE-GGA, the Alexandria database).

Results
Its space group is Cm (8). As for the calculated volume: 70.4 Å³/f.u.

Cell and atoms, written as extended XYZ:
```
8
Lattice="9.0173 0.0000 0.0000 0.0000 3.1859 0.0000 -1.0987 0.0000 4.9014" Properties=species:S:1:pos:R:3 pbc="T T T"
Tc 0.0000 0.0000 0.0000
Tc 1.8400 1.5930 0.6779
Tc 4.5087 1.5930 0.0000
Tc 6.3486 0.0000 0.6779
Pt 3.8170 0.0000 2.0509
Pt 8.3256 1.5930 2.0509
Pb 1.3776 0.0000 3.2718
Pb 5.8863 1.5930 3.2718
```


## b
# Tc2PtPb

Crystalline Tc2PtPb at its relaxed geometry (PBE-GGA, the Alexandria database).

Results
Its space group is Pmmm (47). As for the calculated volume: 73.2 Å³/f.u.

Cell and atoms, written as extended XYZ:
```
4
Lattice="2.9033 0.0000 0.0000 0.0000 4.1844 0.0000 0.0000 0.0000 6.0293" Properties=species:S:1:pos:R:3 pbc="T T T"
Tc 0.0000 0.0000 1.1484
Tc 0.0000 0.0000 4.8809
Pt 1.4516 2.0922 0.0000
Pb 1.4516 2.0922 3.0146
```


So which one wins? Going from most stable to least: a, b.


## a
# TcPtPb2

Crystalline TcPtPb2 at its relaxed geometry (PBE-GGA, the Alexandria database).

Results
Its space group is C2/m (12). As for the calculated volume: 82.1 Å³/f.u.

Cell and atoms, written as extended XYZ:
```
8
Lattice="8.8651 0.0000 0.0000 0.0000 3.4290 0.0000 -1.2562 0.0000 5.4039" Properties=species:S:1:pos:R:3 pbc="T T T"
Tc 0.0000 0.0000 0.0000
Tc 4.4326 1.7145 0.0000
Pt -0.6281 1.7145 2.7019
Pt 3.8045 0.0000 2.7019
Pb 1.8976 1.7145 1.3207
Pb 1.2787 0.0000 4.0832
Pb 6.3302 0.0000 1.3207
Pb 5.7113 1.7145 4.0832
```


## b
# TcPtPb2

Crystalline TcPtPb2 at its relaxed geometry (PBE-GGA, the Alexandria database).

Results
Its space group is Imm2 (44). As for the calculated volume: 86.3 Å³/f.u.

Cell and atoms, written as extended XYZ:
```
8
Lattice="3.0771 0.0000 0.0000 0.0000 5.0150 0.0000 0.0000 0.0000 11.1808" Properties=species:S:1:pos:R:3 pbc="T T T"
Tc 0.0000 0.0000 0.0000
Tc 1.5386 2.5075 5.5904
Pt 0.0000 2.5075 3.3947
Pt 1.5386 0.0000 8.9851
Pb 0.0000 0.0000 6.1019
Pb 0.0000 2.5075 8.3600
Pb 1.5386 0.0000 2.7696
Pb 1.5386 2.5075 0.5114
```


So which one wins? Going from most stable to least: b, a.


## a
# Te2Pt2Pb

Crystalline Te2Pt2Pb at its relaxed geometry (PBE-GGA, the Alexandria database).

Results
Its space group is I4/mmm (139). As for the calculated volume: 123.6 Å³/f.u.

Cell and atoms, written as extended XYZ:
```
10
Lattice="3.9582 0.0000 0.0000 0.0000 3.9582 0.0000 0.0000 0.0000 15.7815" Properties=species:S:1:pos:R:3 pbc="T T T"
Te 0.0000 0.0000 2.0183
Te 0.0000 0.0000 13.7632
Te 1.9791 1.9791 5.8725
Te 1.9791 1.9791 9.9091
Pt 0.0000 1.9791 3.9454
Pt 0.0000 1.9791 11.8361
Pt 1.9791 0.0000 3.9454
Pt 1.9791 0.0000 11.8361
Pb 0.0000 0.0000 7.8908
Pb 1.9791 1.9791 0.0000
```


## b
# Te2Pt2Pb

Crystalline Te2Pt2Pb at its relaxed geometry (PBE-GGA, the Alexandria database).

Results
Its space group is I4/mmm (139). As for the calculated volume: 122.3 Å³/f.u.

Cell and atoms, written as extended XYZ:
```
10
Lattice="4.6520 0.0000 0.0000 0.0000 4.6520 0.0000 0.0000 0.0000 11.3031" Properties=species:S:1:pos:R:3 pbc="T T T"
Te 0.0000 2.3260 2.8258
Te 0.0000 2.3260 8.4773
Te 2.3260 0.0000 2.8258
Te 2.3260 0.0000 8.4773
Pt 0.0000 0.0000 1.3388
Pt 0.0000 0.0000 9.9643
Pt 2.3260 2.3260 4.3128
Pt 2.3260 2.3260 6.9903
Pb 0.0000 0.0000 5.6515
Pb 2.3260 2.3260 0.0000
```


So which one wins? Going from most stable to least: a, b.


## a
# TePt3Pb

Crystalline TePt3Pb at its relaxed geometry (PBE-GGA, the Alexandria database).

Results
Its space group is Pm-3m (221). As for the calculated volume: 125.6 Å³/f.u.

Cell and atoms, written as extended XYZ:
```
5
Lattice="5.0076 0.0000 0.0000 0.0000 5.0076 0.0000 0.0000 0.0000 5.0076" Properties=species:S:1:pos:R:3 pbc="T T T"
Te 0.0000 0.0000 0.0000
Pt 0.0000 0.0000 2.5038
Pt 0.0000 2.5038 0.0000
Pt 2.5038 0.0000 0.0000
Pb 2.5038 2.5038 2.5038
```


## b
# TePt3Pb

Crystalline TePt3Pb at its relaxed geometry (PBE-GGA, the Alexandria database).

Results
Its space group is Pm-3m (221). As for the calculated volume: 130.4 Å³/f.u.

Cell and atoms, written as extended XYZ:
```
5
Lattice="5.0707 0.0000 0.0000 0.0000 5.0707 0.0000 0.0000 0.0000 5.0707" Properties=species:S:1:pos:R:3 pbc="T T T"
Te 0.0000 0.0000 0.0000
Pt 0.0000 2.5353 2.5353
Pt 2.5353 0.0000 2.5353
Pt 2.5353 2.5353 0.0000
Pb 2.5353 2.5353 2.5353
```


So which one wins? Going from most stable to least: a, b.


## a
# Th2PtPb

Crystalline Th2PtPb at its relaxed geometry (PBE-GGA, the Alexandria database).

Results
Its space group is R-3m (166). As for the calculated volume: 120.7 Å³/f.u.

Cell and atoms, written as extended XYZ:
```
12
Lattice="4.2586 0.0000 0.0000 -2.1293 3.6880 0.0000 0.0000 0.0000 23.0627" Properties=species:S:1:pos:R:3 pbc="T T T"
Th 0.0000 0.0000 5.4747
Th 0.0000 0.0000 17.5880
Th 0.0000 2.4587 9.9004
Th 0.0000 2.4587 20.8498
Th 2.1293 1.2293 2.2129
Th 2.1293 1.2293 13.1622
Pt 0.0000 0.0000 11.5313
Pt 0.0000 2.4587 3.8438
Pt 2.1293 1.2293 19.2189
Pb 0.0000 0.0000 0.0000
Pb 0.0000 2.4587 15.3751
Pb 2.1293 1.2293 7.6875
```


## b
# Th2PtPb

Crystalline Th2PtPb at its relaxed geometry (PBE-GGA, the Alexandria database).

Results
Its space group is P4/mmm (123). As for the calculated volume: 107.2 Å³/f.u.

Cell and atoms, written as extended XYZ:
```
4
Lattice="3.5004 0.0000 0.0000 0.0000 3.5004 0.0000 0.0000 0.0000 8.7502" Properties=species:S:1:pos:R:3 pbc="T T T"
Th 0.0000 0.0000 1.8910
Th 0.0000 0.0000 6.8591
Pt 1.7502 1.7502 0.0000
Pb 1.7502 1.7502 4.3751
```


So which one wins? Going from most stable to least: b, a.


## a
# Ti2PtPb2

Crystalline Ti2PtPb2 at its relaxed geometry (PBE-GGA, the Alexandria database).

Results
Its space group is I4/mmm (139). As for the calculated volume: 110.3 Å³/f.u.

Cell and atoms, written as extended XYZ:
```
10
Lattice="4.1119 0.0000 0.0000 0.0000 4.1119 0.0000 0.0000 0.0000 13.0448" Properties=species:S:1:pos:R:3 pbc="T T T"
Ti 0.0000 0.0000 1.0252
Ti 0.0000 0.0000 12.0196
Ti 2.0559 2.0559 5.4972
Ti 2.0559 2.0559 7.5476
Pt 0.0000 0.0000 6.5224
Pt 2.0559 2.0559 0.0000
Pb 0.0000 2.0559 3.2612
Pb 0.0000 2.0559 9.7836
Pb 2.0559 0.0000 3.2612
Pb 2.0559 0.0000 9.7836
```


## b
# Ti2PtPb2

Crystalline Ti2PtPb2 at its relaxed geometry (PBE-GGA, the Alexandria database).

Results
Its space group is P4/mbm (127). As for the calculated volume: 106.7 Å³/f.u.

Cell and atoms, written as extended XYZ:
```
10
Lattice="6.7821 0.0000 0.0000 0.0000 6.7821 0.0000 0.0000 0.0000 4.6381" Properties=species:S:1:pos:R:3 pbc="T T T"
Ti 1.0072 2.3839 0.0000
Ti 2.3839 5.7749 0.0000
Ti 4.3982 1.0072 0.0000
Ti 5.7749 4.3982 0.0000
Pt 0.0000 0.0000 0.0000
Pt 3.3910 3.3910 0.0000
Pb 1.1447 4.5357 2.3190
Pb 2.2464 1.1447 2.3190
Pb 4.5357 5.6374 2.3190
Pb 5.6374 2.2464 2.3190
```


So which one wins? Going from most stable to least: b, a.


## a
# TiPtPb3

Crystalline TiPtPb3 at its relaxed geometry (PBE-GGA, the Alexandria database).

Results
Its space group is Pm-3m (221). As for the calculated volume: 151.4 Å³/f.u.

Cell and atoms, written as extended XYZ:
```
5
Lattice="5.3303 0.0000 0.0000 0.0000 5.3303 0.0000 0.0000 0.0000 5.3303" Properties=species:S:1:pos:R:3 pbc="T T T"
Ti 0.0000 0.0000 0.0000
Pt 2.6651 2.6651 2.6651
Pb 0.0000 0.0000 2.6651
Pb 0.0000 2.6651 0.0000
Pb 2.6651 0.0000 0.0000
```


## b
# TiPtPb3

Crystalline TiPtPb3 at its relaxed geometry (PBE-GGA, the Alexandria database).

Results
Its space group is Pm-3m (221). As for the calculated volume: 154.3 Å³/f.u.

Cell and atoms, written as extended XYZ:
```
5
Lattice="5.3635 0.0000 0.0000 0.0000 5.3635 0.0000 0.0000 0.0000 5.3635" Properties=species:S:1:pos:R:3 pbc="T T T"
Ti 0.0000 0.0000 0.0000
Pt 2.6817 2.6817 2.6817
Pb 0.0000 2.6817 2.6817
Pb 2.6817 0.0000 2.6817
Pb 2.6817 2.6817 0.0000
```


So which one wins? Going from most stable to least: b, a.